# 1
## In5Ga2Hg (PBE)

Data for a geometry-optimized In5Ga2Hg structure.

The value obtained for the formation energy is 0.052 eV/atom. The density of states at the Fermi level comes out at 0.4209 states/eV per atom. For the calculated total energy, the calculation gives -0.0902 Ha/atom. Its magnetization is 0.00 μB per cell. The crystal system is monoclinic.

It has space group C2/m (No. 12), with a = 13.537 Å, b = 7.564 Å, c = 3.995 Å, α = 90.00°, β = 98.53° and γ = 90.00°. The asymmetric unit holds In at (0.000, 0.000, 0.000), In at (0.130, 0.263, 0.517), Ga at (0.233, 0.000, 0.018) and Hg at (0.000, 0.500, 0.000).

# 2
## AsIrAu2 (PBE)

Data for a geometry-optimized AsIrAu2 structure.

The value obtained for the formation energy is 0.407 eV/atom. The density of states at the Fermi level comes out at 0.7567 states/eV per atom. For the calculated total energy, the calculation gives -0.1694 Ha/atom. Its magnetization is 0.00 μB per cell. The crystal system is orthorhombic.

It has space group Pmmm (No. 47), with a = 2.871 Å, b = 4.189 Å, c = 5.736 Å, α = 90.00°, β = 90.00° and γ = 90.00°. The asymmetric unit holds As at (0.000, 0.000, 0.000), Ir at (0.000, 0.000, 0.500) and Au at (0.500, 0.500, 0.255).

# 3
## FeSiPdPt2 (PBE)

Data for a geometry-optimized FeSiPdPt2 structure.

The energy relative to the elements, uncorrected comes out at 337 meV per atom. The density of states at the Fermi level comes out at 1.3300 states/eV per atom. For the calculated total energy, the calculation gives -0.2167 Ha/atom. Its magnetization is 3.56 μB per cell. The crystal system is tetragonal.

It has space group P4/mmm (No. 123), with a = 4.499 Å, b = 4.499 Å, c = 4.465 Å, α = 90.00°, β = 90.00° and γ = 90.00°. The asymmetric unit holds Fe at (0.000, 0.000, 0.000), Si at (0.500, 0.500, 0.500), Pd at (0.500, 0.500, 0.000) and Pt at (0.000, 0.500, 0.500).

# 4
## TiCr2Hg (PBE)

Data for a geometry-optimized TiCr2Hg structure.

The value obtained for the formation energy is 0.803 eV/atom. The density of states at the Fermi level comes out at 1.6327 states/eV per atom. For the calculated total energy, the calculation gives -0.2226 Ha/atom. Its magnetization is 0.00 μB per cell. The crystal system is tetragonal.

It has space group I-42d (No. 122), with a = 3.803 Å, b = 3.803 Å, c = 18.457 Å, α = 90.00°, β = 90.00° and γ = 90.00°. The asymmetric unit holds Ti at (0.000, 0.000, 0.000), Cr at (0.179, 0.250, 0.125) and Hg at (0.000, 0.000, 0.500).

# 5
## PuTlPdPb (PBE)

Data for a geometry-optimized PuTlPdPb structure.

The value obtained for the formation energy is -0.107 eV/atom. The density of states at the Fermi level comes out at 3.6169 states/eV per atom. For the calculated total energy, the calculation gives -0.2391 Ha/atom. Its magnetization is 21.78 μB per cell. The crystal system is cubic.

It has space group F-43m (No. 216), with a = 7.320 Å, b = 7.320 Å, c = 7.320 Å, α = 90.00°, β = 90.00° and γ = 90.00°. The asymmetric unit holds Pu at (0.000, 0.000, 0.000), Tl at (0.250, 0.250, 0.250), Pd at (0.250, 0.250, 0.750) and Pb at (0.000, 0.000, 0.500).

# 6
## LaEr2PuSb4 (PBE)

Data for a geometry-optimized LaEr2PuSb4 structure.

The energy relative to the elements, uncorrected comes out at -1000 meV per atom. The density of states at the Fermi level comes out at 2.1501 states/eV per atom. For the calculated total energy, the calculation gives -0.2429 Ha/atom. Its magnetization is 5.03 μB per cell. The crystal system is monoclinic.

It has space group P2/m (No. 10), with a = 7.680 Å, b = 4.453 Å, c = 7.702 Å, α = 90.00°, β = 109.54° and γ = 90.00°. The asymmetric unit holds La at (0.000, 0.000, 0.000), Er at (0.500, 0.000, 0.500), Er at (0.500, 0.500, 0.000), Pu at (0.000, 0.500, 0.500), Sb at (0.258, 0.000, 0.747) and Sb at (0.262, 0.500, 0.259).